No. 1
# Al3BH

Crystalline Al3BH at its relaxed geometry (PBE, Alexandria).

a = 4.132 Å, b = 4.132 Å, c = 4.132 Å
α = 90.00°, β = 90.00°, γ = 90.00°
Space group Pm-3m (No. 221)
Asymmetric unit:
Al: 0.000 0.000 0.500 x3
B: 0.000 0.000 0.000 x1
H: 0.500 0.500 0.500 x1

Offset from the most stable computed form: 0.00 eV/f.u.

***

No. 2
# AlB2H6

Crystalline AlB2H6 at its relaxed geometry (PBE, Alexandria).

a = 3.705 Å, b = 4.274 Å, c = 5.601 Å
α = 94.54°, β = 107.36°, γ = 114.70°
Space group P-1 (No. 2)
Asymmetric unit:
Al: 0.000 0.000 0.000 x1
B: 0.468 0.387 0.849 x2
H: 0.122 0.285 0.675 x2
H: 0.277 0.448 0.256 x2
H: 0.438 0.875 0.145 x2

Offset from the most stable computed form: 0.00 eV/f.u.

***

Record order is preserved below.
Electronic total energy: -3.599; -4.046 eV per atom